[1]
{
  "formula": "TcBr2",
  "functional": "PBE",
  "state": "optimized geometry",
  "e_above_lowest_polymorph_ev_per_atom": 0.379,
  "m_tot_mub_per_fu": 2.13,
  "cell": [[0.0000, 5.5268, 5.5268], [5.5268, 0.0000, 5.5268], [5.5268, 5.5268, 0.0000]],
  "species": ["Tc", "Tc", "Br", "Br", "Br", "Br"],
  "fractional_positions": [[0.1250, 0.1250, 0.1250], [0.8750, 0.8750, 0.8750], [0.0000, 0.0000, 0.0000], [0.0000, 0.0000, 0.5000], [0.0000, 0.5000, 0.0000], [0.5000, 0.0000, 0.0000]]
}

---

[2]
{
  "formula": "SmHoB2Ir2C2",
  "functional": "PBE",
  "state": "optimized geometry",
  "total_energy_ev_per_atom": -7.817,
  "m_tot_mub_per_fu": 0.00,
  "cell": [[3.7544, 0.0000, 0.0000], [0.0000, 3.7544, 0.0000], [0.0000, 0.0000, 7.8124]],
  "species": ["Sm", "Ho", "B", "B", "Ir", "Ir", "C", "C"],
  "fractional_positions": [[0.0000, 0.0000, 0.0000], [0.5000, 0.5000, 0.3252], [0.0000, 0.0000, 0.5072], [0.5000, 0.5000, 0.8224], [0.0000, 0.5000, 0.6626], [0.5000, 0.0000, 0.6626], [0.0000, 0.0000, 0.3140], [0.5000, 0.5000, 0.0173]]
}

---

[3]
{
  "formula": "BaNiTe2",
  "functional": "PBE",
  "state": "optimized geometry",
  "total_energy_ev_per_atom": -3.941,
  "m_tot_mub_per_fu": 0.01,
  "cell": [[4.2553, 0.0000, 0.0000], [0.0000, 7.5176, 0.0000], [0.0000, 0.0000, 7.4609]],
  "species": ["Ba", "Ba", "Ni", "Ni", "Te", "Te", "Te", "Te"],
  "fractional_positions": [[0.0000, 0.0010, 0.0000], [0.0000, 0.9990, 0.5000], [0.5000, 0.4994, 0.0001], [0.5000, 0.5006, 0.5001], [0.0000, 0.3837, 0.2505], [0.0000, 0.6163, 0.7505], [0.5000, 0.2552, 0.7494], [0.5000, 0.7448, 0.2494]]
}

---

[4]
{
  "formula": "Co3W10",
  "functional": "PBE",
  "state": "optimized geometry",
  "e_above_lowest_polymorph_ev_per_atom": 0.112,
  "e_form_ev_per_atom": 0.481,
  "m_tot_mub_per_fu": 0.01,
  "cell": [[2.5720, 1.4849, 8.8911], [-2.5720, 1.4849, 8.8911], [0.0000, -2.9699, 8.8911]],
  "species": ["Co", "Co", "Co", "W", "W", "W", "W", "W", "W", "W", "W", "W", "W"],
  "fractional_positions": [[0.0000, 0.0000, 0.0000], [0.1648, 0.1648, 0.1648], [0.8352, 0.8352, 0.8352], [0.0890, 0.0890, 0.5866], [0.0890, 0.5866, 0.0890], [0.3507, 0.3507, 0.3507], [0.4134, 0.9110, 0.9110], [0.4525, 0.4525, 0.4525], [0.5475, 0.5475, 0.5475], [0.5866, 0.0890, 0.0890], [0.6493, 0.6493, 0.6493], [0.9110, 0.4134, 0.9110], [0.9110, 0.9110, 0.4134]]
}

---

[5]
{
  "formula": "PrAlNiPd",
  "functional": "PBE",
  "state": "optimized geometry",
  "e_above_lowest_polymorph_ev_per_atom": 0.006,
  "m_tot_mub_per_fu": 0.00,
  "cell": [[4.3159, 0.0000, 0.0000], [-2.1579, 3.7377, 0.0000], [0.0000, 0.0000, 9.6813]],
  "species": ["Pr", "Pr", "Al", "Al", "Ni", "Ni", "Pd", "Pd"],
  "fractional_positions": [[0.3333, 0.6667, 0.0000], [0.6667, 0.3333, 0.5000], [0.0000, 0.0000, 0.2403], [0.0000, 0.0000, 0.7403], [0.3333, 0.6667, 0.6901], [0.6667, 0.3333, 0.1901], [0.3333, 0.6667, 0.3119], [0.6667, 0.3333, 0.8119]]
}

---

[6]
{
  "formula": "InPIrO",
  "functional": "PBE",
  "state": "optimized geometry",
  "e_above_lowest_polymorph_ev_per_atom": 0.397,
  "m_tot_mub_per_fu": 0.00,
  "cell": [[3.2788, 0.0000, 0.0000], [0.0000, 7.2413, 0.0000], [0.0000, 0.0000, 5.9018]],
  "species": ["In", "In", "P", "P", "Ir", "Ir", "O", "O"],
  "fractional_positions": [[0.0000, 0.2054, 0.0000], [0.0000, 0.7946, 0.5000], [0.0000, 0.1661, 0.4481], [0.0000, 0.8339, 0.9481], [0.5000, 0.3136, 0.6254], [0.5000, 0.6864, 0.1254], [0.5000, 0.4204, 0.0033], [0.5000, 0.5796, 0.5033]]
}

---

[7]
{
  "formula": "Li4MgAlPt2",
  "functional": "PBE",
  "state": "optimized geometry",
  "total_energy_ev_per_atom": -3.756,
  "m_tot_mub_per_fu": 0.01,
  "cell": [[4.3325, 0.0000, 0.0000], [0.0000, 4.3325, 0.0000], [0.0000, 0.0000, 6.1227]],
  "species": ["Li", "Li", "Li", "Li", "Mg", "Al", "Pt", "Pt"],
  "fractional_positions": [[0.0000, 0.0000, 0.0000], [0.0000, 0.5000, 0.7463], [0.5000, 0.0000, 0.2537], [0.5000, 0.5000, 0.5000], [0.5000, 0.5000, 0.0000], [0.0000, 0.0000, 0.5000], [0.0000, 0.5000, 0.2703], [0.5000, 0.0000, 0.7297]]
}

---

[8]
{
  "formula": "Er2Sc2CBr5",
  "functional": "PBE",
  "state": "optimized geometry",
  "total_energy_ev_per_atom": -5.352,
  "m_tot_mub_per_fu": 0.21,
  "cell": [[8.8370, -1.8467, 0.0000], [8.8370, 1.8467, 0.0000], [-1.7803, 0.0000, 7.7966]],
  "species": ["Er", "Er", "Sc", "Sc", "C", "Br", "Br", "Br", "Br", "Br"],
  "fractional_positions": [[0.9998, 0.9998, 0.2017], [0.0002, 0.0002, 0.7983], [0.3700, 0.3700, 0.9344], [0.6300, 0.6300, 0.0656], [0.5000, 0.5000, 0.0000], [0.1646, 0.1646, 0.3224], [0.1671, 0.1671, 0.8414], [0.5000, 0.5000, 0.5000], [0.8329, 0.8329, 0.1586], [0.8354, 0.8354, 0.6776]]
}

---

[9]
{
  "formula": "Tb2GdSn4Pb3",
  "functional": "PBE",
  "state": "optimized geometry",
  "e_above_lowest_polymorph_ev_per_atom": 0.008,
  "m_tot_mub_per_fu": 0.01,
  "cell": [[2.3220, -12.8211, 0.0000], [2.3220, 12.8211, 0.0000], [0.0000, 0.0000, 4.6346]],
  "species": ["Tb", "Tb", "Gd", "Sn", "Sn", "Sn", "Sn", "Pb", "Pb", "Pb"],
  "fractional_positions": [[0.1854, 0.8146, 0.0000], [0.8146, 0.1854, 0.0000], [0.0000, 0.0000, 0.0000], [0.0971, 0.9029, 0.5000], [0.4034, 0.5966, 0.0000], [0.5966, 0.4034, 0.0000], [0.9029, 0.0971, 0.5000], [0.2935, 0.7065, 0.5000], [0.5000, 0.5000, 0.5000], [0.7065, 0.2935, 0.5000]]
}

---

[10]
{
  "formula": "NdUW2C3",
  "functional": "PBE",
  "state": "optimized geometry",
  "total_energy_ev_per_atom": -10.113,
  "m_tot_mub_per_fu": 1.05,
  "cell": [[6.0317, -1.6521, 0.0000], [6.0317, 1.6521, 0.0000], [-2.2733, 0.0000, 5.2787]],
  "species": ["Nd", "U", "W", "W", "C", "C", "C"],
  "fractional_positions": [[0.0000, 0.0000, 0.0000], [0.7867, 0.7867, 0.3731], [0.2442, 0.2442, 0.8649], [0.5573, 0.5573, 0.5274], [0.1516, 0.1516, 0.4525], [0.3922, 0.3922, 0.2095], [0.6558, 0.6558, 0.9374]]
}

---

[11]
{
  "formula": "CsLuFeSe3",
  "functional": "PBE",
  "state": "optimized geometry",
  "e_above_lowest_polymorph_ev_per_atom": 0.245,
  "m_tot_mub_per_fu": 4.00,
  "cell": [[8.6359, -2.1159, 0.0000], [8.6359, 2.1159, 0.0000], [-1.7281, 0.0000, 9.1157]],
  "species": ["Cs", "Cs", "Lu", "Lu", "Fe", "Fe", "Se", "Se", "Se", "Se", "Se", "Se"],
  "fractional_positions": [[0.1563, 0.1563, 0.0587], [0.8437, 0.8437, 0.9413], [0.1632, 0.1632, 0.5653], [0.8368, 0.8368, 0.4347], [0.4986, 0.4986, 0.2716], [0.5014, 0.5014, 0.7284], [0.0000, 0.0000, 0.5000], [0.3333, 0.3333, 0.6374], [0.3525, 0.3525, 0.2456], [0.5000, 0.5000, 0.0000], [0.6475, 0.6475, 0.7544], [0.6667, 0.6667, 0.3626]]
}

---

[12]
{
  "formula": "GdMgZn",
  "functional": "PBE",
  "state": "optimized geometry",
  "total_energy_ev_per_atom": -2.653,
  "m_tot_mub_per_fu": 0.00,
  "cell": [[6.0441, 0.0000, 0.0000], [-2.9481, 5.4834, 0.0000], [-0.7692, -0.5812, 8.3092]],
  "species": ["Gd", "Gd", "Gd", "Gd", "Mg", "Mg", "Mg", "Mg", "Zn", "Zn", "Zn", "Zn"],
  "fractional_positions": [[0.0000, 0.0000, 0.0000], [0.0600, 0.4753, 0.7395], [0.4535, 0.6135, 0.1629], [0.6058, 0.8659, 0.5938], [0.0508, 0.7613, 0.3676], [0.5345, 0.3332, 0.4830], [0.5478, 0.4254, 0.8385], [0.9934, 0.2346, 0.3647], [0.1561, 0.0098, 0.6683], [0.4901, 0.9774, 0.9064], [0.4933, 0.1098, 0.2014], [0.8955, 0.4501, 0.0814]]
}

---

[13]
{
  "formula": "PmAsN2O",
  "functional": "PBE",
  "state": "optimized geometry",
  "total_energy_ev_per_atom": -7.006,
  "m_tot_mub_per_fu": 0.00,
  "cell": [[5.4737, 0.0000, 0.0000], [-2.7219, 4.8211, 0.0000], [-0.3332, -2.8320, 8.9680]],
  "species": ["Pm", "Pm", "Pm", "Pm", "As", "As", "As", "As", "N", "N", "N", "N", "N", "N", "N", "N", "O", "O", "O", "O"],
  "fractional_positions": [[0.0000, 0.0000, 0.0000], [0.1712, 0.3940, 0.7187], [0.4807, 0.9132, 0.4400], [0.7463, 0.4557, 0.2115], [0.1100, 0.1649, 0.3582], [0.3885, 0.7324, 0.0844], [0.5167, 0.0834, 0.7999], [0.7963, 0.6677, 0.6009], [0.1202, 0.8768, 0.7554], [0.1798, 0.8933, 0.2082], [0.4912, 0.0496, 0.9920], [0.5235, 0.3786, 0.4277], [0.5872, 0.8083, 0.6970], [0.6490, 0.3142, 0.6769], [0.7572, 0.0278, 0.2310], [0.9728, 0.9640, 0.4962], [0.0411, 0.4524, 0.9581], [0.0765, 0.4779, 0.4631], [0.3092, 0.4752, 0.1973], [0.5598, 0.5686, 0.9650]]
}

---

[14]
{
  "formula": "NaCdIn2",
  "functional": "PBE",
  "state": "optimized geometry",
  "total_energy_ev_per_atom": -2.031,
  "cell": [[2.4196, -5.6243, 0.0000], [2.4196, 5.6243, 0.0000], [0.0000, 0.0000, 7.7730]],
  "species": ["Na", "Na", "Cd", "Cd", "In", "In", "In", "In"],
  "fractional_positions": [[0.0778, 0.9222, 0.7500], [0.9222, 0.0778, 0.2500], [0.2097, 0.7903, 0.2500], [0.7903, 0.2097, 0.7500], [0.3710, 0.6290, 0.5503], [0.3710, 0.6290, 0.9497], [0.6290, 0.3710, 0.0503], [0.6290, 0.3710, 0.4497]]
}

---

[15]
{
  "formula": "Rb2CdSbCl6",
  "functional": "PBE",
  "state": "optimized geometry",
  "total_energy_ev_per_atom": -3.064,
  "cell": [[0.0000, 5.4054, 5.4054], [5.4054, 0.0000, 5.4054], [5.4054, 5.4054, 0.0000]],
  "species": ["Rb", "Rb", "Cd", "Sb", "Cl", "Cl", "Cl", "Cl", "Cl", "Cl"],
  "fractional_positions": [[0.2500, 0.2500, 0.2500], [0.7500, 0.7500, 0.7500], [0.0000, 0.0000, 0.0000], [0.5000, 0.5000, 0.5000], [0.2503, 0.2503, 0.7497], [0.2503, 0.7497, 0.2503], [0.2503, 0.7497, 0.7497], [0.7497, 0.2503, 0.2503], [0.7497, 0.2503, 0.7497], [0.7497, 0.7497, 0.2503]]
}

---

[16]
{
  "formula": "Lu3HfCd2C2",
  "functional": "PBE",
  "state": "optimized geometry",
  "total_energy_ev_per_atom": -5.872,
  "m_tot_mub_per_fu": 0.24,
  "cell": [[3.4220, 0.0000, 0.0000], [-1.7110, 2.9635, 0.0000], [0.0000, 0.0000, 15.8164]],
  "species": ["Lu", "Lu", "Lu", "Hf", "Cd", "Cd", "C", "C"],
  "fractional_positions": [[0.0000, 0.0000, 0.0000], [0.0000, 0.0000, 0.3361], [0.6667, 0.3333, 0.8328], [0.6667, 0.3333, 0.4977], [0.0000, 0.0000, 0.6580], [0.6667, 0.3333, 0.1702], [0.3333, 0.6667, 0.4277], [0.3333, 0.6667, 0.9167]]
}

---

[17]
{
  "formula": "PmSmTe2",
  "functional": "PBE",
  "state": "optimized geometry",
  "total_energy_ev_per_atom": -5.333,
  "m_tot_mub_per_fu": 0.01,
  "cell": [[4.4489, 0.0000, 0.0000], [0.0000, 4.4489, 0.0000], [0.0000, 0.0000, 6.2986]],
  "species": ["Pm", "Sm", "Te", "Te"],
  "fractional_positions": [[0.0000, 0.0000, 0.0000], [0.5000, 0.5000, 0.5000], [0.0000, 0.0000, 0.5000], [0.5000, 0.5000, 0.0000]]
}

---

[18]
{
  "formula": "ZnFeSnW",
  "functional": "PBE",
  "state": "optimized geometry",
  "e_above_lowest_polymorph_ev_per_atom": 0.000,
  "m_tot_mub_per_fu": 1.86,
  "cell": [[0.0000, 3.1309, 3.1309], [3.1309, 0.0000, 3.1309], [3.1309, 3.1309, 0.0000]],
  "species": ["Zn", "Fe", "Sn", "W"],
  "fractional_positions": [[0.0000, 0.0000, 0.0000], [0.5000, 0.5000, 0.5000], [0.2500, 0.2500, 0.2500], [0.7500, 0.7500, 0.7500]]
}

---

[19]
{
  "formula": "AlAgSn",
  "functional": "PBE",
  "state": "optimized geometry",
  "total_energy_ev_per_atom": -3.415,
  "cell": [[6.3168, 0.0000, 0.0000], [0.0000, 4.3085, 0.0000], [0.0000, 0.0000, 9.0823]],
  "species": ["Al", "Al", "Al", "Al", "Ag", "Ag", "Ag", "Ag", "Sn", "Sn", "Sn", "Sn"],
  "fractional_positions": [[0.1207, 0.2500, 0.0780], [0.3793, 0.7500, 0.5780], [0.6207, 0.2500, 0.4220], [0.8793, 0.7500, 0.9220], [0.0913, 0.2500, 0.7757], [0.4087, 0.7500, 0.2757], [0.5913, 0.2500, 0.7243], [0.9087, 0.7500, 0.2243], [0.1228, 0.2500, 0.4029], [0.3772, 0.7500, 0.9029], [0.6228, 0.2500, 0.0971], [0.8772, 0.7500, 0.5971]]
}

---

[20]
{
  "formula": "HoAlTl",
  "functional": "PBE",
  "state": "optimized geometry",
  "e_above_lowest_polymorph_ev_per_atom": 0.000,
  "m_tot_mub_per_fu": 0.00,
  "cell": [[2.2175, -7.0737, 0.0000], [2.2175, 7.0737, 0.0000], [0.0000, 0.0000, 4.6275]],
  "species": ["Ho", "Ho", "Al", "Al", "Tl", "Tl"],
  "fractional_positions": [[0.1587, 0.8413, 0.0000], [0.8413, 0.1587, 0.0000], [0.3104, 0.6896, 0.5000], [0.6896, 0.3104, 0.5000], [0.0000, 0.0000, 0.5000], [0.5000, 0.5000, 0.0000]]
}